[1]
K6LiFe24S26Cl | PBE | relaxed

a = 9.8396 Å, b = 9.8396 Å, c = 9.8396 Å
α = 90.00°, β = 90.00°, γ = 90.00°
With the nearest neighbours (Å) after each atom.
Sites, in units of the cell vectors:
Fe 0.3654 0.1349 0.6346  4 S 2.15-2.19
Fe 0.6346 0.8651 0.6346  4 S 2.15-2.19
Fe 0.3654 0.3654 0.8651  4 S 2.15-2.19
Fe 0.6346 0.8651 0.3654  4 S 2.15-2.19
Fe 0.3654 0.3654 0.1349  4 S 2.15-2.19
Fe 0.1349 0.3654 0.6346  4 S 2.15-2.19
Fe 0.1349 0.3654 0.3654  4 S 2.15-2.19
Fe 0.8651 0.6346 0.3654  4 S 2.15-2.19
Fe 0.1349 0.6346 0.3654  4 S 2.15-2.19
Fe 0.8651 0.3654 0.6346  4 S 2.15-2.19
Fe 0.3654 0.6346 0.1349  4 S 2.15-2.19
Fe 0.6346 0.6346 0.8651  4 S 2.15-2.19
Fe 0.1349 0.6346 0.6346  4 S 2.15-2.19
Fe 0.3654 0.8651 0.3654  4 S 2.15-2.19
Fe 0.6346 0.3654 0.8651  4 S 2.15-2.19
Fe 0.6346 0.1349 0.3654  4 S 2.15-2.19
Fe 0.8651 0.3654 0.3654  4 S 2.15-2.19
Fe 0.3654 0.6346 0.8651  4 S 2.15-2.19
Fe 0.6346 0.3654 0.1349  4 S 2.15-2.19
Fe 0.3654 0.1349 0.3654  4 S 2.15-2.19
Fe 0.6346 0.1349 0.6346  4 S 2.15-2.19
Fe 0.6346 0.6346 0.1349  4 S 2.15-2.19
Fe 0.8651 0.6346 0.6346  4 S 2.15-2.19
Fe 0.3654 0.8651 0.6346  4 S 2.15-2.19
S 0.0000 0.5000 0.7495  4 Fe 2.19
S 0.5000 0.7495 0.0000  4 Fe 2.19
S 0.2246 0.7754 0.2246  3 Fe 2.15
S 0.5000 0.5000 0.7527  4 Fe 2.18
S 0.5000 0.0000 0.7495  4 Fe 2.19
S 0.2473 0.5000 0.5000  4 Fe 2.18
S 0.5000 0.2473 0.5000  4 Fe 2.18
S 0.0000 0.2505 0.5000  4 Fe 2.19
S 0.2505 0.5000 0.0000  4 Fe 2.19
S 0.7754 0.2246 0.2246  3 Fe 2.15
S 0.5000 0.0000 0.2505  4 Fe 2.19
S 0.2246 0.7754 0.7754  3 Fe 2.15
S 0.5000 0.7527 0.5000  4 Fe 2.18
S 0.0000 0.7495 0.5000  4 Fe 2.19
S 0.5000 0.5000 0.2473  4 Fe 2.18
S 0.0000 0.5000 0.2505  4 Fe 2.19
S 0.7754 0.2246 0.7754  3 Fe 2.15
S 0.7495 0.0000 0.5000  4 Fe 2.19
S 0.7527 0.5000 0.5000  4 Fe 2.18
S 0.2246 0.2246 0.2246  3 Fe 2.15
S 0.7754 0.7754 0.2246  3 Fe 2.15
S 0.5000 0.2505 0.0000  4 Fe 2.19
S 0.7754 0.7754 0.7754  3 Fe 2.15
S 0.2505 0.0000 0.5000  4 Fe 2.19
S 0.2246 0.2246 0.7754  3 Fe 2.15
S 0.7495 0.5000 0.0000  4 Fe 2.19
K 0.6994 0.0000 0.0000  1 Cl 2.96, 8 S 3.15-3.21
K 0.0000 0.6994 0.0000  1 Cl 2.96, 8 S 3.15-3.21
K 0.3006 0.0000 0.0000  1 Cl 2.96, 8 S 3.15-3.21
K 0.0000 0.0000 0.3006  1 Cl 2.96, 8 S 3.15-3.21
K 0.0000 0.3006 0.0000  1 Cl 2.96, 8 S 3.15-3.21
K 0.0000 0.0000 0.6994  1 Cl 2.96, 8 S 3.15-3.21
Li 0.5000 0.5000 0.5000  6 S 2.49
Cl 0.0000 0.0000 0.0000  6 K 2.96

For the density of states at the Fermi level, the calculation gives 39.66 states/eV/f.u. The calculation puts the energy relative to the elements, uncorrected at -576 meV/atom.

[2]
KMgFeCl6 | PBE | relaxed

a = 6.2817 Å, b = 6.2818 Å, c = 7.0292 Å
α = 90.00°, β = 90.00°, γ = 60.00°
With the nearest neighbours (Å) after each atom.
Sites, in units of the cell vectors:
Cl 0.3566 0.0256 0.6905  1 Fe 2.30, 1 Mg 2.51
Cl 0.0255 0.6178 0.6905  1 Fe 2.30, 1 Mg 2.51
Cl 0.6178 0.0256 0.3095  1 Fe 2.30, 1 Mg 2.51
Cl 0.6177 0.3567 0.6905  1 Fe 2.30, 1 Mg 2.51
Cl 0.0256 0.3567 0.3095  1 Fe 2.30, 1 Mg 2.51
Cl 0.3566 0.6178 0.3095  1 Fe 2.30, 1 Mg 2.51
Mg 0.6666 0.6667 0.5000  6 Cl 2.51
Fe 0.3333 0.3333 0.5000  6 Cl 2.30
K 0.0000 0.0000 0.0000  6 Cl 3.18

For the density of states at the Fermi level, the calculation gives 10.11 states/eV/f.u. The calculation puts the energy relative to the elements, uncorrected at -1307 meV/atom.

[3]
KMg2FeCl8 | PBE | relaxed

a = 6.1437 Å, b = 6.1454 Å, c = 8.4977 Å
α = 77.63°, β = 77.72°, γ = 74.93°
With the nearest neighbours (Å) after each atom.
Sites, in units of the cell vectors:
Mg 0.5630 0.5634 0.2652  5 Cl 2.40-2.61
Mg 0.4370 0.4366 0.7348  5 Cl 2.40-2.61
Cl 0.7437 0.1778 0.2013  1 Fe 2.31, 1 Mg 2.46
Cl 0.6655 0.6685 0.4910  2 Mg 2.40-2.61
Cl 0.3345 0.3315 0.5090  2 Mg 2.40-2.61
Cl 0.2370 0.2353 0.9853  1 Fe 2.27, 1 Mg 2.47
Cl 0.7630 0.7647 0.0147  1 Fe 2.27, 1 Mg 2.47
Cl 0.2563 0.8222 0.7987  1 Fe 2.31, 1 Mg 2.46
Cl 0.1767 0.7426 0.2019  1 Fe 2.32, 1 Mg 2.46
Cl 0.8233 0.2574 0.7981  1 Fe 2.32, 1 Mg 2.46
Fe 0.0000 0.0000 0.0000  6 Cl 2.27-2.32
K 0.0000 0.0000 0.5000  6 Cl 3.12-3.27

For the density of states at the Fermi level, the calculation gives 6.90 states/eV/f.u. The calculation puts the energy relative to the elements, uncorrected at -1344 meV/atom.